Material: Pa2SbN
Method: DFT, PBE-GGA
State: optimized geometry

Results
ΔE to the lowest computed polymorph ... 0.0 meV per atom
Energy relative to the elements, uncorrected ... -0.8826 eV per atom
Density of states at the Fermi level ... 5.9 states/eV/f.u.
Uncorrected energy ... -104.91 eV for the cell shown
Crystal system ... trigonal

a b c (Å): 3.7102 3.7102 21.3795
angles (deg): 90.00 90.00 120.00
Closest atoms and distances in Å follow each position.
Element x y z (fractional)
Pa 0.0000 0.0000 0.2284  3 N 2.52
Pa 0.0000 0.0000 0.7716  3 N 2.52
Pa 0.3333 0.6667 0.4383  3 N 2.52
Pa 0.3333 0.6667 0.8950  3 N 2.52
Pa 0.6667 0.3333 0.1050  3 N 2.52
Pa 0.6667 0.3333 0.5617  3 N 2.52
Sb 0.0000 0.0000 0.0000  6 Pa 3.10
Sb 0.3333 0.6667 0.6667  6 Pa 3.10
Sb 0.6667 0.3333 0.3333  6 Pa 3.10
N 0.0000 0.0000 0.5000  6 Pa 2.52
N 0.3333 0.6667 0.1667  6 Pa 2.52
N 0.6667 0.3333 0.8333  6 Pa 2.52

=====

Material: HgSeBr2
Method: DFT, PBE-GGA
State: optimized geometry

Results
ΔE to the lowest computed polymorph ... 606.4 meV per atom
Energy relative to the elements, uncorrected ... 0.4287 eV per atom
Density of states at the Fermi level ... 5.5 states/eV/f.u.
Uncorrected energy ... -21.67 eV for the cell shown
Crystal system ... cubic

a b c (Å): 7.3469 7.3469 7.3469
angles (deg): 90.00 90.00 90.00
Closest atoms and distances in Å follow each position.
Element x y z (fractional)
Hg 0.0000 0.0000 0.0000  4 Se 3.18, 4 Br 3.18
Hg 0.0000 0.5000 0.5000  4 Se 3.18, 4 Br 3.18
Hg 0.5000 0.0000 0.5000  4 Se 3.18, 4 Br 3.18
Hg 0.5000 0.5000 0.0000  4 Se 3.18, 4 Br 3.18
Se 0.2500 0.2500 0.2500  4 Hg 3.18, 4 Br 3.18
Se 0.2500 0.7500 0.7500  4 Hg 3.18, 4 Br 3.18
Se 0.7500 0.2500 0.7500  4 Hg 3.18, 4 Br 3.18
Se 0.7500 0.7500 0.2500  4 Hg 3.18, 4 Br 3.18
Br 0.0000 0.0000 0.5000  4 Br 3.18, 4 Se 3.18
Br 0.0000 0.5000 0.0000  4 Br 3.18, 4 Se 3.18
Br 0.2500 0.2500 0.7500  4 Hg 3.18, 4 Br 3.18
Br 0.2500 0.7500 0.2500  4 Hg 3.18, 4 Br 3.18
Br 0.5000 0.0000 0.0000  4 Br 3.18, 4 Se 3.18
Br 0.5000 0.5000 0.5000  4 Br 3.18, 4 Se 3.18
Br 0.7500 0.2500 0.2500  4 Hg 3.18, 4 Br 3.18
Br 0.7500 0.7500 0.7500  4 Br 3.18, 4 Hg 3.18

=====

Material: Er5Ga2Au2
Method: DFT, PBE-GGA
State: optimized geometry

Results
Energy of formation from the pure elements ... -0.67 eV per atom
Density of states at the Fermi level ... 8.3 states/eV/f.u.
Uncorrected energy ... -82.95 eV for the cell shown
Crystal system ... orthorhombic

a b c (Å): 8.6587 8.6587 7.4878
angles (deg): 90.00 90.00 51.52
Closest atoms and distances in Å follow each position.
Element x y z (fractional)
Er 0.0000 0.0000 0.0000  4 Ga 2.99, 2 Au 3.25
Er 0.0404 0.6826 0.6713  3 Au 2.95-3.03, 3 Ga 3.06-3.15
Er 0.1826 0.5404 0.1713  3 Au 2.95-3.03, 3 Ga 3.06-3.15
Er 0.3174 0.9596 0.6713  3 Au 2.95-3.03, 3 Ga 3.06-3.15
Er 0.4596 0.8174 0.1713  3 Au 2.95-3.03, 3 Ga 3.06-3.15
Er 0.5000 0.5000 0.5000  4 Ga 2.99, 2 Au 3.25
Er 0.5404 0.1826 0.8287  3 Au 2.95-3.03, 3 Ga 3.06-3.15
Er 0.6826 0.0404 0.3287  3 Au 2.95-3.03, 3 Ga 3.06-3.15
Er 0.8174 0.4596 0.8287  3 Au 2.95-3.03, 3 Ga 3.06-3.15
Er 0.9596 0.3174 0.3287  3 Au 2.95-3.03, 3 Ga 3.06-3.15
Ga 0.1209 0.8791 0.3797  1 Ga 2.56
Ga 0.3791 0.6209 0.8797  1 Ga 2.56
Ga 0.6209 0.3791 0.1203  1 Ga 2.56
Ga 0.8791 0.1209 0.6203  1 Ga 2.56
Au 0.2084 0.2084 0.0000  7 Er 2.95-3.25
Au 0.2916 0.2916 0.5000  7 Er 2.95-3.25
Au 0.7084 0.7084 0.5000  7 Er 2.95-3.25
Au 0.7916 0.7916 0.0000  7 Er 2.95-3.25

=====

Material: Al2CdHg
Method: DFT, PBE-GGA
State: optimized geometry

Results
Energy of formation from the pure elements ... 0.18 eV per atom
ΔE to the lowest computed polymorph ... 68.1 meV per atom
Density of states at the Fermi level ... 1.4 states/eV/f.u.
Uncorrected energy ... -15.95 eV for the cell shown
Crystal system ... tetragonal

a b c (Å): 4.2932 4.2932 8.8514
angles (deg): 90.00 90.00 90.00
Closest atoms and distances in Å follow each position.
Element x y z (fractional)
Al 0.0000 0.5000 0.2500  4 Al 3.04, 4 Hg 3.08, 4 Cd 3.08
Al 0.0000 0.5000 0.7500  4 Al 3.04, 4 Cd 3.08, 4 Hg 3.08
Al 0.5000 0.0000 0.2500  4 Al 3.04, 4 Hg 3.08, 4 Cd 3.08
Al 0.5000 0.0000 0.7500  4 Al 3.04, 4 Cd 3.08, 4 Hg 3.08
Cd 0.0000 0.0000 0.0000  4 Hg 3.04, 8 Al 3.08
Cd 0.5000 0.5000 0.5000  4 Hg 3.04, 8 Al 3.08
Hg 0.0000 0.0000 0.5000  4 Cd 3.04, 8 Al 3.08
Hg 0.5000 0.5000 0.0000  4 Cd 3.04, 8 Al 3.08

=====

Question: The highest uncorrected energy belongs to which entry?
Answer: Al2CdHg